Tb6Pm3DyTm2 | PBE-GGA | relaxed

abc: 6.1816 6.1816 11.8245
angles: 94.98 94.98 119.98
Element x y z (fractional)
1 Tb 0.0839 0.4176 0.7540
2 Tb 0.2487 0.2487 0.2460
3 Tb 0.4176 0.0839 0.7540
4 Tb 0.5824 0.9161 0.2460
5 Tb 0.7513 0.7513 0.7540
6 Tb 0.9161 0.5824 0.2460
7 Pm 0.0000 0.0000 0.5000
8 Pm 0.3332 0.6668 0.5000
9 Pm 0.6668 0.3332 0.5000
10 Dy 0.5000 0.5000 0.0000
11 Tm 0.1667 0.8333 0.0000
12 Tm 0.8333 0.1667 0.0000

Calculated values
ΔH_f (0 K) = 1.7 kJ/mol of atoms
VASP energy = -4.6143 eV/atom
space-group type = C2/m